Ac2Pr3 | PBE-GGA | optimized geometry

ΔH_f (0 K), meV/atom: 375
Symmetry: No. 167
Volume, Å³/cell: 412
Magnetic moment, μB/f.u.: 0.00
Total energy, eV/f.u.: -20.68

a b c (Å): 10.352 10.352 7.445
angles (deg): 45.95 45.95 60.00
Atoms (fractional coordinates):
1 Pr 0.085 0.415 0.750
2 Pr 0.415 0.750 0.750
3 Pr 0.915 0.585 0.250
4 Pr 0.750 0.085 0.750
5 Pr 0.250 0.915 0.250
6 Pr 0.585 0.250 0.250
7 Ac 0.126 0.126 0.623
8 Ac 0.874 0.874 0.377
9 Ac 0.374 0.374 0.877
10 Ac 0.626 0.626 0.123

---

Ac2Pr | PBE-GGA | optimized geometry

ΔH_f (0 K), meV/atom: 22
ΔE to the lowest computed polymorph, eV/f.u.: 0.008
Symmetry: No. 139
Volume, Å³/cell: 126
Magnetic moment, μB/f.u.: 0.00
Total energy, eV/f.u.: -12.93

a b c (Å): 3.925 3.925 8.647
angles (deg): 103.12 103.12 90.00
Atoms (fractional coordinates):
1 Pr 0.000 0.000 0.000
2 Ac 0.662 0.662 0.324
3 Ac 0.338 0.338 0.676

---

AcPr3 | PBE-GGA | optimized geometry

ΔH_f (0 K), meV/atom: 40
Symmetry: No. 25
Volume, Å³/cell: 155
Magnetic moment, μB/f.u.: 0.00
Total energy, eV/f.u.: -18.29

a b c (Å): 3.825 6.140 6.581
angles (deg): 90.00 90.00 90.00
Atoms (fractional coordinates):
1 Ac 0.000 0.500 0.332
2 Pr 0.500 0.500 0.832
3 Pr 0.500 0.000 0.505
4 Pr 0.000 0.000 0.997

---

Ac2Pr13 | PBE-GGA | optimized geometry

ΔH_f (0 K), meV/atom: 530
Symmetry: No. 166
Volume, Å³/cell: 633
Magnetic moment, μB/f.u.: 0.00
Total energy, eV/f.u.: -62.39

a b c (Å): 9.755 9.755 9.528
angles (deg): 59.21 59.21 60.00
Atoms (fractional coordinates):
1 Pr 0.252 0.599 0.897
2 Pr 0.978 0.323 0.721
3 Pr 0.022 0.022 0.279
4 Pr 0.500 0.500 0.500
5 Pr 0.748 0.401 0.103
6 Pr 0.978 0.978 0.721
7 Pr 0.599 0.252 0.897
8 Pr 0.022 0.677 0.279
9 Pr 0.677 0.022 0.279
10 Pr 0.323 0.978 0.721
11 Pr 0.401 0.748 0.103
12 Pr 0.748 0.748 0.103
13 Pr 0.252 0.252 0.897
14 Ac 0.766 0.766 0.702
15 Ac 0.234 0.234 0.298

---

AcPr3 | PBE-GGA | optimized geometry

ΔH_f (0 K), meV/atom: 38
Symmetry: No. 194
Volume, Å³/cell: 309
Magnetic moment, μB/f.u.: 0.00
Total energy, eV/f.u.: -18.30

a b c (Å): 7.630 7.630 6.132
angles (deg): 90.00 90.00 120.00
Atoms (fractional coordinates):
1 Pr 0.164 0.836 0.250
2 Pr 0.164 0.328 0.250
3 Pr 0.836 0.164 0.750
4 Pr 0.836 0.672 0.750
5 Pr 0.672 0.836 0.250
6 Pr 0.328 0.164 0.750
7 Ac 0.667 0.333 0.250
8 Ac 0.333 0.667 0.750

---

Ac5Pr3 | PBE-GGA | optimized geometry

ΔH_f (0 K), meV/atom: 22
Symmetry: No. 123
Volume, Å³/cell: 333
Magnetic moment, μB/f.u.: 0.00
Total energy, eV/f.u.: -34.70

a b c (Å): 3.918 3.918 21.696
angles (deg): 90.00 90.00 90.00
Atoms (fractional coordinates):
1 Pr 0.500 0.500 0.121
2 Pr 0.500 0.500 0.879
3 Pr 0.000 0.000 0.500
4 Ac 0.500 0.500 0.378
5 Ac 0.500 0.500 0.622
6 Ac 0.000 0.000 0.000
7 Ac 0.000 0.000 0.755
8 Ac 0.000 0.000 0.245

---

AcPr7 | PBE-GGA | optimized geometry

ΔH_f (0 K), meV/atom: 11
Symmetry: No. 225
Volume, Å³/cell: 298
Magnetic moment, μB/f.u.: 0.00
Total energy, eV/f.u.: -37.48

a b c (Å): 7.499 7.499 7.499
angles (deg): 60.00 60.00 60.00
Atoms (fractional coordinates):
1 Pr 0.000 0.500 0.000
2 Pr 0.500 0.000 0.000
3 Pr 0.500 0.500 0.000
4 Pr 0.000 0.500 0.500
5 Pr 0.500 0.500 0.500
6 Pr 0.000 0.000 0.500
7 Pr 0.500 0.000 0.500
8 Ac 0.000 0.000 0.000

---

AcPr6 | PBE-GGA | optimized geometry

ΔH_f (0 K), meV/atom: 137
ΔE to the lowest computed polymorph, eV/f.u.: 0.000
Symmetry: No. 148
Volume, Å³/cell: 264
Magnetic moment, μB/f.u.: 0.00
Total energy, eV/f.u.: -31.83

a b c (Å): 3.667 9.195 9.195
angles (deg): 118.26 97.64 97.64
Atoms (fractional coordinates):
1 Pr 0.417 0.434 0.161
2 Pr 0.744 0.161 0.727
3 Pr 0.983 0.727 0.566
4 Pr 0.017 0.273 0.434
5 Pr 0.583 0.566 0.839
6 Pr 0.256 0.839 0.273
7 Ac 0.500 0.000 0.000

---

Ac3Pr | PBE-GGA | optimized geometry

ΔH_f (0 K), meV/atom: 28
ΔE to the lowest computed polymorph, eV/f.u.: 0.048
Symmetry: No. 139
Volume, Å³/cell: 172
Magnetic moment, μB/f.u.: 0.00
Total energy, eV/f.u.: -16.99

a b c (Å): 5.554 5.554 6.807
angles (deg): 114.08 114.08 90.00
Atoms (fractional coordinates):
1 Ac 0.250 0.750 0.500
2 Ac 0.500 0.500 0.000
3 Ac 0.750 0.250 0.500
4 Pr 0.000 0.000 0.000

---

Ac3Pr | PBE-GGA | optimized geometry

ΔH_f (0 K), meV/atom: 39
ΔE to the lowest computed polymorph, eV/f.u.: 0.091
Symmetry: No. 44
Volume, Å³/cell: 172
Magnetic moment, μB/f.u.: 0.00
Total energy, eV/f.u.: -16.95

a b c (Å): 3.957 6.828 7.501
angles (deg): 117.07 105.29 90.00
Atoms (fractional coordinates):
1 Pr 0.000 0.002 0.000
2 Ac 0.747 0.080 0.493
3 Ac 0.253 0.587 0.507
4 Ac 0.500 0.498 0.000

---

AcPr2 | PBE-GGA | optimized geometry

ΔH_f (0 K), meV/atom: 180
ΔE to the lowest computed polymorph, eV/f.u.: 0.467
Symmetry: No. 227
Volume, Å³/cell: 235
Magnetic moment, μB/f.u.: 0.00
Total energy, eV/f.u.: -13.13

a b c (Å): 6.926 6.926 6.926
angles (deg): 60.00 60.00 60.00
Atoms (fractional coordinates):
1 Pr 0.625 0.625 0.625
2 Pr 0.625 0.125 0.625
3 Pr 0.625 0.625 0.125
4 Pr 0.125 0.625 0.625
5 Ac 0.000 0.000 0.000
6 Ac 0.250 0.250 0.250

---

Ac3Pr | PBE-GGA | optimized geometry

ΔH_f (0 K), meV/atom: 141
ΔE to the lowest computed polymorph, eV/f.u.: 0.499
Symmetry: No. 225
Volume, Å³/cell: 173
Magnetic moment, μB/f.u.: 1.80
Total energy, eV/f.u.: -16.54

a b c (Å): 6.255 6.255 6.255
angles (deg): 60.00 60.00 60.00
Each line ends with the local moment (μB).
Atoms (fractional coordinates):
1 Ac 0.250 0.250 0.250  0.15
2 Ac 0.750 0.750 0.750  0.15
3 Ac 0.000 0.000 0.000  0.11
4 Pr 0.500 0.500 0.500  0.29

---

Ac6Pr5 | PBE-GGA | optimized geometry

ΔH_f (0 K), meV/atom: 171
ΔE to the lowest computed polymorph, eV/f.u.: 0.480
Symmetry: No. 12
Volume, Å³/cell: 473
Magnetic moment, μB/f.u.: 0.00
Total energy, eV/f.u.: -46.66

a b c (Å): 12.311 6.707 6.729
angles (deg): 119.89 95.39 79.14
Atoms (fractional coordinates):
1 Pr 0.500 0.500 0.000
2 Pr 0.000 0.665 0.330
3 Pr 0.000 0.335 0.670
4 Pr 0.500 0.166 0.332
5 Pr 0.500 0.834 0.668
6 Ac 0.247 0.252 0.000
7 Ac 0.753 0.748 0.000
8 Ac 0.245 0.588 0.668
9 Ac 0.755 0.412 0.332
10 Ac 0.245 0.920 0.332
11 Ac 0.755 0.080 0.668

---

AcPr4 | PBE-GGA | optimized geometry

ΔH_f (0 K), meV/atom: 310
ΔE to the lowest computed polymorph, eV/f.u.: 1.446
Symmetry: No. 69
Volume, Å³/cell: 201
Magnetic moment, μB/f.u.: 0.00
Total energy, eV/f.u.: -21.67

a b c (Å): 6.643 7.549 6.643
angles (deg): 128.90 64.69 128.90
Atoms (fractional coordinates):
1 Ac 0.000 0.000 0.000
2 Pr 0.250 0.500 0.750
3 Pr 0.350 0.699 0.350
4 Pr 0.750 0.500 0.250
5 Pr 0.650 0.301 0.650

---

AcPr11 | PBE-GGA | optimized geometry

ΔH_f (0 K), meV/atom: 27
Symmetry: No. 191
Volume, Å³/cell: 443
Magnetic moment, μB/f.u.: 0.00
Total energy, eV/f.u.: -56.36

a b c (Å): 3.673 11.805 11.805
angles (deg): 120.00 90.00 90.00
Atoms (fractional coordinates):
1 Pr 0.000 0.500 0.000
2 Pr 0.500 0.176 0.351
3 Pr 0.500 0.649 0.824
4 Pr 0.500 0.824 0.649
5 Pr 0.000 0.500 0.500
6 Pr 0.500 0.351 0.176
7 Pr 0.000 0.333 0.667
8 Pr 0.000 0.000 0.500
9 Pr 0.000 0.667 0.333
10 Pr 0.500 0.176 0.824
11 Pr 0.500 0.824 0.176
12 Ac 0.000 0.000 0.000

---

Ac3Pr8 | PBE-GGA | optimized geometry

ΔH_f (0 K), meV/atom: 27
ΔE to the lowest computed polymorph, eV/f.u.: 0.000
Symmetry: No. 12
Volume, Å³/cell: 425
Magnetic moment, μB/f.u.: 0.00
Total energy, eV/f.u.: -50.27

a b c (Å): 5.339 6.585 13.694
angles (deg): 103.82 90.00 113.92
Atoms (fractional coordinates):
1 Pr 0.455 0.910 0.181
2 Pr 0.819 0.638 0.728
3 Pr 0.181 0.362 0.272
4 Pr 0.638 0.276 0.455
5 Pr 0.545 0.090 0.819
6 Pr 0.362 0.724 0.545
7 Pr 0.273 0.545 0.909
8 Pr 0.727 0.455 0.091
9 Ac 0.000 0.000 0.000
10 Ac 0.909 0.819 0.361
11 Ac 0.091 0.181 0.639

---

Ac4Pr | PBE-GGA | optimized geometry

ΔH_f (0 K), meV/atom: 511
ΔE to the lowest computed polymorph, eV/f.u.: 2.445
Symmetry: No. 221
Volume, Å³/cell: 250
Magnetic moment, μB/f.u.: 0.00
Total energy, eV/f.u.: -18.66

a b c (Å): 6.300 6.300 6.300
angles (deg): 90.00 90.00 90.00
Atoms (fractional coordinates):
1 Ac 0.500 0.500 0.000
2 Ac 0.500 0.000 0.500
3 Ac 0.000 0.500 0.500
4 Ac 0.000 0.000 0.000
5 Pr 0.500 0.500 0.500

---

Ac4Pr | PBE-GGA | optimized geometry

ΔH_f (0 K), meV/atom: 22
ΔE to the lowest computed polymorph, eV/f.u.: 0.000
Symmetry: No. 12
Volume, Å³/cell: 217
Magnetic moment, μB/f.u.: 0.00
Total energy, eV/f.u.: -21.10

a b c (Å): 3.958 3.958 16.179
angles (deg): 82.86 82.86 59.86
Atoms (fractional coordinates):
1 Ac 0.397 0.397 0.807
2 Ac 0.799 0.799 0.602
3 Ac 0.603 0.603 0.193
4 Ac 0.201 0.201 0.398
5 Pr 0.000 0.000 0.000

---

AcPr3 | PBE-GGA | optimized geometry

ΔH_f (0 K), meV/atom: 133
Symmetry: No. 225
Volume, Å³/cell: 154
Magnetic moment, μB/f.u.: 0.02
Total energy, eV/f.u.: -17.92

a b c (Å): 6.012 6.012 6.012
angles (deg): 60.00 60.00 60.00
Atoms (fractional coordinates):
1 Pr 0.000 0.000 0.000
2 Pr 0.750 0.750 0.750
3 Pr 0.250 0.250 0.250
4 Ac 0.500 0.500 0.500

---

Ac2Pr7 | PBE-GGA | optimized geometry

ΔH_f (0 K), meV/atom: 22
Symmetry: No. 162
Volume, Å³/cell: 343
Magnetic moment, μB/f.u.: 0.00
Total energy, eV/f.u.: -41.47

a b c (Å): 6.561 6.561 9.187
angles (deg): 90.00 90.00 120.00
Atoms (fractional coordinates):
1 Pr 0.669 0.000 0.337
2 Pr 0.331 0.000 0.663
3 Pr 0.669 0.669 0.663
4 Pr 0.000 0.331 0.663
5 Pr 0.000 0.669 0.337
6 Pr 0.331 0.331 0.337
7 Pr 0.000 0.000 0.000
8 Ac 0.333 0.667 0.000
9 Ac 0.667 0.333 0.000

---

Ac2Pr | PBE-GGA | optimized geometry

ΔH_f (0 K), meV/atom: 24
ΔE to the lowest computed polymorph, eV/f.u.: 0.015
Symmetry: No. 12
Volume, Å³/cell: 503
Magnetic moment, μB/f.u.: 0.00
Total energy, eV/f.u.: -12.92

a b c (Å): 7.770 7.770 9.590
angles (deg): 90.03 90.03 60.27
Atoms (fractional coordinates):
1 Ac 0.500 0.500 0.000
2 Ac 0.333 0.333 0.330
3 Ac 0.000 0.000 0.000
4 Ac 0.165 0.665 0.665
5 Ac 0.665 0.165 0.665
6 Ac 0.335 0.835 0.335
7 Ac 0.835 0.335 0.335
8 Ac 0.667 0.667 0.670
9 Pr 0.834 0.834 0.327
10 Pr 0.166 0.166 0.673
11 Pr 0.000 0.500 0.000
12 Pr 0.500 0.000 0.000

---

Ac5Pr4 | PBE-GGA | optimized geometry

ΔH_f (0 K), meV/atom: 27
Symmetry: No. 71
Volume, Å³/cell: 369
Magnetic moment, μB/f.u.: 0.00
Total energy, eV/f.u.: -39.42

a b c (Å): 5.473 8.656 8.656
angles (deg): 84.31 71.58 71.58
Atoms (fractional coordinates):
1 Pr 0.333 0.000 0.333
2 Pr 0.667 0.667 0.000
3 Pr 0.333 0.667 0.667
4 Pr 0.667 0.333 0.333
5 Ac 0.671 0.996 0.663
6 Ac 0.000 0.996 0.004
7 Ac 0.329 0.337 0.004
8 Ac 0.000 0.337 0.663
9 Ac 0.000 0.667 0.333

---

Ac6Pr5 | PBE-GGA | optimized geometry

ΔH_f (0 K), meV/atom: 128
ΔE to the lowest computed polymorph, eV/f.u.: 0.000
Symmetry: No. 12
Volume, Å³/cell: 461
Magnetic moment, μB/f.u.: 0.00
Total energy, eV/f.u.: -47.14

a b c (Å): 11.075 8.999 6.507
angles (deg): 74.57 64.39 52.03
Atoms (fractional coordinates):
1 Ac 0.811 0.000 0.612
2 Ac 0.189 0.000 0.388
3 Ac 0.668 0.287 0.127
4 Ac 0.955 0.713 0.127
5 Ac 0.045 0.287 0.873
6 Ac 0.332 0.713 0.873
7 Pr 0.233 0.533 0.500
8 Pr 0.767 0.467 0.500
9 Pr 0.627 0.745 0.000
10 Pr 0.500 0.000 0.500
11 Pr 0.373 0.255 0.000

---

Ac5Pr | PBE-GGA | optimized geometry

ΔH_f (0 K), meV/atom: 19
Symmetry: No. 65
Volume, Å³/cell: 261
Magnetic moment, μB/f.u.: 0.00
Total energy, eV/f.u.: -25.21

a b c (Å): 5.597 5.569 8.835
angles (deg): 108.37 90.00 90.00
Atoms (fractional coordinates):
1 Ac 0.500 0.835 0.669
2 Ac 0.000 0.664 0.328
3 Ac 0.500 0.500 0.000
4 Ac 0.500 0.165 0.331
5 Ac 0.000 0.336 0.672
6 Pr 0.000 0.000 0.000

---

AcPr2 | PBE-GGA | optimized geometry

ΔH_f (0 K), meV/atom: 96
ΔE to the lowest computed polymorph, eV/f.u.: 0.213
Symmetry: No. 69
Volume, Å³/cell: 117
Magnetic moment, μB/f.u.: 0.00
Total energy, eV/f.u.: -13.38

a b c (Å): 4.438 4.438 6.700
angles (deg): 109.40 109.40 89.92
Atoms (fractional coordinates):
1 Pr 0.180 0.180 0.360
2 Pr 0.820 0.820 0.640
3 Ac 0.500 0.500 0.000